CaIn3Hg PBE optimized geometry; energy of formation = -0.245 eV per atom
1.0
6.5606 0.0000 0.0000
0.0000 7.8852 -2.5676
0.0000 -0.0500 10.2484
In Ca Hg
12 4 4
Direct
0.7488 0.5009 0.5018 In
0.5042 0.7102 0.2985 In
0.0042 0.2898 0.2015 In
0.2512 0.4991 0.4982 In
0.9958 0.7102 0.7985 In
0.2304 0.0985 0.9030 In
0.4958 0.2898 0.7015 In
0.2696 0.0985 0.4030 In
0.2488 0.4991 0.9982 In
0.7512 0.5009 0.0018 In
0.7304 0.9015 0.5970 In
0.7696 0.9015 0.0970 In
0.4950 0.7156 0.8062 Ca
0.5050 0.2844 0.1938 Ca
0.0050 0.7156 0.3062 Ca
0.9950 0.2844 0.6938 Ca
0.2413 0.8953 0.6014 Hg
0.7413 0.1047 0.8986 Hg
0.7587 0.1047 0.3986 Hg
0.2587 0.8953 0.1014 Hg

=====

Ca4In2Hg PBE optimized geometry; energy of formation = -0.385 eV per atom
1.0
-3.0081 4.4786 -0.0171
-2.5592 1.5134 -4.5019
-8.9732 -2.7739 0.9358
In Hg Ca
2 1 4
Direct
0.2500 0.2500 0.2499 In
0.7500 0.7500 0.7501 In
0.0000 0.0000 0.0000 Hg
0.1249 0.1249 0.6252 Ca
0.6254 0.6254 0.1237 Ca
0.3746 0.3746 0.8763 Ca
0.8751 0.8751 0.3748 Ca

=====

CaIn2Hg PBE optimized geometry; energy of formation = -0.223 eV per atom
1.0
-3.2700 1.4105 -1.1399
-1.8156 -3.3766 1.0301
-1.1759 2.6688 6.6754
In Hg Ca
2 1 1
Direct
0.0000 0.0000 0.5311 In
0.0000 0.0000 0.9689 In
0.5000 0.5000 0.7500 Hg
0.5000 0.5000 0.2500 Ca

=====

CaIn2Hg PBE optimized geometry; energy of formation = -0.304 eV per atom
1.0
3.8009 0.0000 0.0000
0.0000 5.1283 0.0000
-1.9005 0.0000 10.9930
Hg Ca In
2 2 4
Direct
0.8413 0.7500 0.6827 Hg
0.1587 0.2500 0.3173 Hg
0.3984 0.2500 0.7969 Ca
0.6016 0.7500 0.2031 Ca
0.2336 0.7500 0.4672 In
0.7664 0.2500 0.5328 In
0.0303 0.2500 0.0607 In
0.9697 0.7500 0.9393 In